KNdCd | Alexandria | PBE-GGA | relaxed; energy relative to the elements = 130 meV per atom; space group = Amm2 (38)
1.0
3.760 0.000 0.000
-1.880 3.250 0.000
0.000 0.000 18.254
K Cd Nd
2 2 2
direct
0.278 0.555 0.162
0.278 0.555 0.838
0.614 0.229 0.000
0.276 0.552 0.500
0.610 0.221 0.363
0.610 0.221 0.637

=====

ZrIn3C | Alexandria | PBE-GGA | relaxed; energy relative to the elements = 884 meV per atom; space group = Pm-3m (221)
1.0
-2.935 0.023 3.699
-3.524 -1.452 -2.787
1.124 -4.493 0.920
C In Zr
1 3 1
direct
0.000 0.000 0.000
0.500 0.000 0.000
0.000 0.500 0.000
0.000 0.000 0.500
0.500 0.500 0.500

=====

CaSm3Tm | Alexandria | PBE-GGA | relaxed; energy relative to the elements = 330 meV per atom; space group = Cmcm (63)
1.0
6.381 0.000 0.000
0.000 6.445 1.770
0.000 0.827 9.610
Sm Tm Ca
6 2 2
direct
0.250 0.873 0.733
0.750 0.606 0.267
0.000 0.000 0.000
0.750 0.127 0.267
0.500 0.000 0.000
0.250 0.394 0.733
0.250 0.454 0.093
0.750 0.546 0.907
0.750 0.184 0.631
0.250 0.816 0.369

=====

LaTm6Cd2 | Alexandria | PBE-GGA | relaxed; energy relative to the elements = -117 meV per atom; space group = C2/m (12)
1.0
-1.274 2.085 -2.767
-4.732 -3.504 -2.923
-10.010 3.635 4.886
Tm La Cd
6 1 2
direct
0.013 0.318 0.656
0.686 0.503 0.126
0.314 0.792 0.580
0.314 0.497 0.874
0.987 0.682 0.344
0.686 0.208 0.420
0.000 0.000 0.000
0.652 0.919 0.776
0.348 0.081 0.224